[1]
The following is a DFT calculation (GGA-PBE) of an optimized crystal structure of Ca5Pt3.

Output
- Formation energy: -0.831 eV per atom
- SG: P4/ncc, No. 130
- Energy: -0.160 Ha/atom
- Spin magnetization: 0.00 μB per formula unit
- Excess energy over the best structure of this formula in the dataset: 0 kJ/mol of formula units

Geometry as CIF:
```
data_Ca5Pt3
_chemical_formula_sum 'Ca20 Pt12'
_symmetry_space_group_name_H-M 'P 1'
_symmetry_Int_Tables_number 1
_cell_length_a 11.0701
_cell_length_b 11.0701
_cell_length_c 6.7432
_cell_angle_alpha 90.00
_cell_angle_beta 90.00
_cell_angle_gamma 90.00
loop_
_symmetry_equiv_pos_as_xyz
'x,y,z'
loop_
_atom_site_label
_atom_site_type_symbol
_atom_site_fract_x
_atom_site_fract_y
_atom_site_fract_z
_atom_site_occupancy
Ca1 Ca 0.0437 0.1626 0.1180 1
Ca2 Ca 0.0437 0.3374 0.6180 1
Ca3 Ca 0.1626 0.0437 0.6180 1
Ca4 Ca 0.1626 0.4563 0.1180 1
Ca5 Ca 0.2500 0.7500 0.0000 1
Ca6 Ca 0.2500 0.7500 0.5000 1
Ca7 Ca 0.3374 0.0437 0.1180 1
Ca8 Ca 0.3374 0.4563 0.6180 1
Ca9 Ca 0.4563 0.1626 0.6180 1
Ca10 Ca 0.4563 0.3374 0.1180 1
Ca11 Ca 0.5437 0.6626 0.8820 1
Ca12 Ca 0.5437 0.8374 0.3820 1
Ca13 Ca 0.6626 0.5437 0.3820 1
Ca14 Ca 0.6626 0.9563 0.8820 1
Ca15 Ca 0.7500 0.2500 0.0000 1
Ca16 Ca 0.7500 0.2500 0.5000 1
Ca17 Ca 0.8374 0.5437 0.8820 1
Ca18 Ca 0.8374 0.9563 0.3820 1
Ca19 Ca 0.9563 0.6626 0.3820 1
Ca20 Ca 0.9563 0.8374 0.8820 1
Pt1 Pt 0.0969 0.5969 0.7500 1
Pt2 Pt 0.0969 0.9031 0.2500 1
Pt3 Pt 0.2500 0.2500 0.3700 1
Pt4 Pt 0.2500 0.2500 0.8700 1
Pt5 Pt 0.4031 0.5969 0.2500 1
Pt6 Pt 0.4031 0.9031 0.7500 1
Pt7 Pt 0.5969 0.0969 0.2500 1
Pt8 Pt 0.5969 0.4031 0.7500 1
Pt9 Pt 0.7500 0.7500 0.1300 1
Pt10 Pt 0.7500 0.7500 0.6300 1
Pt11 Pt 0.9031 0.0969 0.7500 1
Pt12 Pt 0.9031 0.4031 0.2500 1
```


[2]
The following is a DFT calculation (GGA-PBE) of an optimized crystal structure of BaCo3Cu.

Output
- Formation energy: 2.384 eV per atom
- SG: Pm-3m, No. 221
- Energy: -0.113 Ha/atom
- Spin magnetization: 3.67 μB per formula unit
- Excess energy over the best structure of this formula in the dataset: 708 kJ/mol of formula units

Geometry as CIF:
```
data_BaCo3Cu
_chemical_formula_sum 'Ba1 Co3 Cu1'
_symmetry_space_group_name_H-M 'P 1'
_symmetry_Int_Tables_number 1
_cell_length_a 4.8314
_cell_length_b 4.8314
_cell_length_c 4.8314
_cell_angle_alpha 90.00
_cell_angle_beta 90.00
_cell_angle_gamma 90.00
loop_
_symmetry_equiv_pos_as_xyz
'x,y,z'
loop_
_atom_site_label
_atom_site_type_symbol
_atom_site_fract_x
_atom_site_fract_y
_atom_site_fract_z
_atom_site_occupancy
Ba1 Ba 0.0000 0.0000 0.0000 1
Co1 Co 0.0000 0.0000 0.5000 1
Co2 Co 0.0000 0.5000 0.0000 1
Co3 Co 0.5000 0.0000 0.0000 1
Cu1 Cu 0.5000 0.5000 0.5000 1
```


[3]
The following is a DFT calculation (GGA-PBE) of an optimized crystal structure of YNi2AgAs.

Output
- Formation energy: 0.114 eV per atom
- SG: P4/mmm, No. 123
- Energy: -0.183 Ha/atom
- Spin magnetization: 0.56 μB per formula unit

Geometry as CIF:
```
data_YNi2AgAs
_chemical_formula_sum 'Y1 Ni2 Ag1 As1'
_symmetry_space_group_name_H-M 'P 1'
_symmetry_Int_Tables_number 1
_cell_length_a 4.4367
_cell_length_b 4.4367
_cell_length_c 5.3532
_cell_angle_alpha 90.00
_cell_angle_beta 90.00
_cell_angle_gamma 90.00
loop_
_symmetry_equiv_pos_as_xyz
'x,y,z'
loop_
_atom_site_label
_atom_site_type_symbol
_atom_site_fract_x
_atom_site_fract_y
_atom_site_fract_z
_atom_site_occupancy
Y1 Y 0.0000 0.0000 0.0000 1
Ni1 Ni 0.0000 0.5000 0.5000 1
Ni2 Ni 0.5000 0.0000 0.5000 1
Ag1 Ag 0.5000 0.5000 0.0000 1
As1 As 0.0000 0.0000 0.5000 1
```


[4]
The following is a DFT calculation (GGA-PBE) of an optimized crystal structure of Cs3AcEr2Se6.

Output
- Energy relative to the elements, uncorrected: -20.82 eV/f.u.
- SG: C2/m, No. 12
- Energy: -0.176 Ha/atom
- Spin magnetization: 0.00 μB per formula unit

Geometry as CIF:
```
data_Cs3AcEr2Se6
_chemical_formula_sum 'Cs3 Ac1 Er2 Se6'
_symmetry_space_group_name_H-M 'P 1'
_symmetry_Int_Tables_number 1
_cell_length_a 7.5696
_cell_length_b 7.5696
_cell_length_c 8.7735
_cell_angle_alpha 98.29
_cell_angle_beta 98.29
_cell_angle_gamma 119.99
loop_
_symmetry_equiv_pos_as_xyz
'x,y,z'
loop_
_atom_site_label
_atom_site_type_symbol
_atom_site_fract_x
_atom_site_fract_y
_atom_site_fract_z
_atom_site_occupancy
Cs1 Cs 0.0000 0.0000 0.0000 1
Cs2 Cs 0.3368 0.6632 0.0000 1
Cs3 Cs 0.6632 0.3368 0.0000 1
Ac1 Ac 0.5000 0.5000 0.5000 1
Er1 Er 0.1669 0.8331 0.5000 1
Er2 Er 0.8331 0.1669 0.5000 1
Se1 Se 0.0828 0.4372 0.3121 1
Se2 Se 0.2080 0.2080 0.6865 1
Se3 Se 0.4372 0.0828 0.3121 1
Se4 Se 0.5628 0.9172 0.6879 1
Se5 Se 0.7920 0.7920 0.3135 1
Se6 Se 0.9172 0.5628 0.6879 1
```


[5]
The following is a DFT calculation (GGA-PBE) of an optimized crystal structure of SmErAlZn.

Output
- Formation energy: -0.359 eV per atom
- SG: F-43m, No. 216
- Energy: -0.145 Ha/atom
- Spin magnetization: 0.00 μB per formula unit
- Excess energy over the best structure of this formula in the dataset: 4 kJ/mol of formula units

Geometry as CIF:
```
data_SmErAlZn
_chemical_formula_sum 'Sm1 Er1 Al1 Zn1'
_symmetry_space_group_name_H-M 'P 1'
_symmetry_Int_Tables_number 1
_cell_length_a 5.1143
_cell_length_b 5.1143
_cell_length_c 5.1143
_cell_angle_alpha 60.00
_cell_angle_beta 60.00
_cell_angle_gamma 60.00
loop_
_symmetry_equiv_pos_as_xyz
'x,y,z'
loop_
_atom_site_label
_atom_site_type_symbol
_atom_site_fract_x
_atom_site_fract_y
_atom_site_fract_z
_atom_site_occupancy
Sm1 Sm 0.0000 0.0000 0.0000 1
Er1 Er 0.5000 0.5000 0.5000 1
Al1 Al 0.2500 0.2500 0.2500 1
Zn1 Zn 0.7500 0.7500 0.7500 1
```


[6]
The following is a DFT calculation (GGA-PBE) of an optimized crystal structure of CdSi2Br.

Output
- Energy relative to the elements, uncorrected: 2.06 eV/f.u.
- SG: Pmmm, No. 47
- Energy: -0.104 Ha/atom
- Spin magnetization: 0.00 μB per formula unit
- Excess energy over the best structure of this formula in the dataset: 191 kJ/mol of formula units

Geometry as CIF:
```
data_CdSi2Br
_chemical_formula_sum 'Cd1 Si2 Br1'
_symmetry_space_group_name_H-M 'P 1'
_symmetry_Int_Tables_number 1
_cell_length_a 3.1882
_cell_length_b 5.0500
_cell_length_c 5.1122
_cell_angle_alpha 90.00
_cell_angle_beta 90.00
_cell_angle_gamma 90.00
loop_
_symmetry_equiv_pos_as_xyz
'x,y,z'
loop_
_atom_site_label
_atom_site_type_symbol
_atom_site_fract_x
_atom_site_fract_y
_atom_site_fract_z
_atom_site_occupancy
Cd1 Cd 0.0000 0.0000 0.0000 1
Si1 Si 0.0000 0.5000 0.5000 1
Si2 Si 0.5000 0.5000 0.0000 1
Br1 Br 0.5000 0.0000 0.5000 1
```


[7]
The following is a DFT calculation (GGA-PBE) of an optimized crystal structure of Tb3CeTe4.

Output
- Energy relative to the elements, uncorrected: -10.53 eV/f.u.
- SG: P6_3/mmc, No. 194
- Energy: -0.197 Ha/atom
- Spin magnetization: 1.40 μB per formula unit
- Excess energy over the best structure of this formula in the dataset: 10 kJ/mol of formula units

Geometry as CIF:
```
data_Tb3CeTe4
_chemical_formula_sum 'Tb6 Ce2 Te8'
_symmetry_space_group_name_H-M 'P 1'
_symmetry_Int_Tables_number 1
_cell_length_a 4.3386
_cell_length_b 4.3386
_cell_length_c 29.6647
_cell_angle_alpha 90.00
_cell_angle_beta 90.00
_cell_angle_gamma 120.00
loop_
_symmetry_equiv_pos_as_xyz
'x,y,z'
loop_
_atom_site_label
_atom_site_type_symbol
_atom_site_fract_x
_atom_site_fract_y
_atom_site_fract_z
_atom_site_occupancy
Tb1 Tb 0.0000 0.0000 0.0000 1
Tb2 Tb 0.0000 0.0000 0.5000 1
Tb3 Tb 0.3333 0.6667 0.1225 1
Tb4 Tb 0.3333 0.6667 0.3775 1
Tb5 Tb 0.6667 0.3333 0.6225 1
Tb6 Tb 0.6667 0.3333 0.8775 1
Ce1 Ce 0.3333 0.6667 0.7500 1
Ce2 Ce 0.6667 0.3333 0.2500 1
Te1 Te 0.0000 0.0000 0.1829 1
Te2 Te 0.0000 0.0000 0.3171 1
Te3 Te 0.0000 0.0000 0.6829 1
Te4 Te 0.0000 0.0000 0.8171 1
Te5 Te 0.3333 0.6667 0.5610 1
Te6 Te 0.3333 0.6667 0.9390 1
Te7 Te 0.6667 0.3333 0.0610 1
Te8 Te 0.6667 0.3333 0.4390 1
```


[8]
The following is a DFT calculation (GGA-PBE) of an optimized crystal structure of Sr4ScAu.

Output
- Formation energy: 0.592 eV per atom
- SG: F-43m, No. 216
- Energy: -0.078 Ha/atom
- Spin magnetization: 1.70 μB per formula unit

Geometry as CIF:
```
data_Sr4ScAu
_chemical_formula_sum 'Sr4 Sc1 Au1'
_symmetry_space_group_name_H-M 'P 1'
_symmetry_Int_Tables_number 1
_cell_length_a 7.0948
_cell_length_b 7.0948
_cell_length_c 7.0948
_cell_angle_alpha 60.00
_cell_angle_beta 60.00
_cell_angle_gamma 60.00
loop_
_symmetry_equiv_pos_as_xyz
'x,y,z'
loop_
_atom_site_label
_atom_site_type_symbol
_atom_site_fract_x
_atom_site_fract_y
_atom_site_fract_z
_atom_site_occupancy
Sr1 Sr 0.1254 0.1254 0.1254 1
Sr2 Sr 0.1254 0.1254 0.6237 1
Sr3 Sr 0.1254 0.6237 0.1254 1
Sr4 Sr 0.6237 0.1254 0.1254 1
Sc1 Sc 0.5000 0.5000 0.5000 1
Au1 Au 0.7500 0.7500 0.7500 1
```


[9]
The following is a DFT calculation (GGA-PBE) of an optimized crystal structure of LiTl.

Output
- Formation energy: -0.223 eV per atom
- SG: P2_1/m, No. 11
- Energy: -0.087 Ha/atom
- Spin magnetization: 0.00 μB per formula unit

Geometry as CIF:
```
data_LiTl
_chemical_formula_sum 'Li2 Tl2'
_symmetry_space_group_name_H-M 'P 1'
_symmetry_Int_Tables_number 1
_cell_length_a 3.3216
_cell_length_b 4.9687
_cell_length_c 5.1073
_cell_angle_alpha 90.00
_cell_angle_beta 90.35
_cell_angle_gamma 90.00
loop_
_symmetry_equiv_pos_as_xyz
'x,y,z'
loop_
_atom_site_label
_atom_site_type_symbol
_atom_site_fract_x
_atom_site_fract_y
_atom_site_fract_z
_atom_site_occupancy
Li1 Li 0.0008 0.2500 0.2915 1
Li2 Li 0.9992 0.7500 0.7085 1
Tl1 Tl 0.4992 0.2500 0.7855 1
Tl2 Tl 0.5008 0.7500 0.2145 1
```


[10]
The following is a DFT calculation (GGA-PBE) of an optimized crystal structure of BaY3.

Output
- Formation energy: 0.202 eV per atom
- SG: Imm2, No. 44
- Energy: -0.188 Ha/atom
- Spin magnetization: 0.00 μB per formula unit
- Excess energy over the best structure of this formula in the dataset: 23 kJ/mol of formula units

Geometry as CIF:
```
data_BaY3
_chemical_formula_sum 'Ba1 Y3'
_symmetry_space_group_name_H-M 'P 1'
_symmetry_Int_Tables_number 1
_cell_length_a 7.0806
_cell_length_b 7.0806
_cell_length_c 7.0806
_cell_angle_alpha 149.17
_cell_angle_beta 64.28
_cell_angle_gamma 125.13
loop_
_symmetry_equiv_pos_as_xyz
'x,y,z'
loop_
_atom_site_label
_atom_site_type_symbol
_atom_site_fract_x
_atom_site_fract_y
_atom_site_fract_z
_atom_site_occupancy
Ba1 Ba 0.0000 0.0000 0.0000 1
Y1 Y 0.4116 0.6485 0.7631 1
Y2 Y 0.4913 0.9913 0.5000 1
Y3 Y 0.8854 0.6485 0.2369 1
```


[11]
The following is a DFT calculation (GGA-PBE) of an optimized crystal structure of ZrTlPdAu2.

Output
- Formation energy: 1.099 eV per atom
- SG: P4/mmm, No. 123
- Energy: -0.126 Ha/atom
- Spin magnetization: 0.00 μB per formula unit

Geometry as CIF:
```
data_ZrTlPdAu2
_chemical_formula_sum 'Zr1 Tl1 Pd1 Au2'
_symmetry_space_group_name_H-M 'P 1'
_symmetry_Int_Tables_number 1
_cell_length_a 5.0933
_cell_length_b 5.0933
_cell_length_c 5.4514
_cell_angle_alpha 90.00
_cell_angle_beta 90.00
_cell_angle_gamma 90.00
loop_
_symmetry_equiv_pos_as_xyz
'x,y,z'
loop_
_atom_site_label
_atom_site_type_symbol
_atom_site_fract_x
_atom_site_fract_y
_atom_site_fract_z
_atom_site_occupancy
Zr1 Zr 0.0000 0.0000 0.0000 1
Tl1 Tl 0.0000 0.0000 0.5000 1
Pd1 Pd 0.5000 0.5000 0.0000 1
Au1 Au 0.0000 0.5000 0.5000 1
Au2 Au 0.5000 0.0000 0.5000 1
```


[12]
The following is a DFT calculation (GGA-PBE) of an optimized crystal structure of Ba2AsRh.

Output
- Formation energy: -0.196 eV per atom
- SG: I-4m2, No. 119
- Energy: -0.153 Ha/atom
- Spin magnetization: 0.00 μB per formula unit

Geometry as CIF:
```
data_Ba2AsRh
_chemical_formula_sum 'Ba2 As1 Rh1'
_symmetry_space_group_name_H-M 'P 1'
_symmetry_Int_Tables_number 1
_cell_length_a 6.2511
_cell_length_b 6.2511
_cell_length_c 6.2511
_cell_angle_alpha 136.10
_cell_angle_beta 136.10
_cell_angle_gamma 63.83
loop_
_symmetry_equiv_pos_as_xyz
'x,y,z'
loop_
_atom_site_label
_atom_site_type_symbol
_atom_site_fract_x
_atom_site_fract_y
_atom_site_fract_z
_atom_site_occupancy
Ba1 Ba 0.0000 0.0000 0.0000 1
Ba2 Ba 0.7500 0.2500 0.5000 1
As1 As 0.5000 0.5000 0.0000 1
Rh1 Rh 0.2500 0.7500 0.5000 1
```